A plane-wave DFT calculation with SCAN was carried out for a crystal of B5H6Br relaxed with PBEsol.

Output
As for the energy: -6.61 eV per atom.

a = 13.2080 Å, b = 7.2300 Å, c = 11.6435 Å
α = 90.00°, β = 112.10°, γ = 90.00°
Closest atoms and distances in Å follow each position.
Space group P2_1/c (No. 14)
Asymmetric unit:
1 B 0.1044 0.0239 0.3622 [4 per cell]  1 H 1.20
2 B 0.1302 0.7103 0.8972 [4 per cell]  2 H 1.20-1.34
3 B 0.1475 0.6146 0.7642 [4 per cell]  1 H 1.20
4 B 0.1660 0.5175 0.0210 [4 per cell]  2 H 1.20-1.34
5 B 0.2039 0.1811 0.4556 [4 per cell]  1 H 1.20
6 B 0.2067 0.1075 0.3113 [4 per cell]  1 H 1.20
7 B 0.2348 0.7141 0.3480 [4 per cell]  1 H 1.20
8 B 0.2908 0.5802 0.8135 [4 per cell]  1 H 1.34
9 B 0.3013 0.0670 0.5771 [4 per cell]  1 H 1.20
10 B 0.3284 0.1143 0.4421 [4 per cell]  1 H 1.33
11 H 0.0102 0.0681 0.3270 [4 per cell]  1 B 1.20
12 H 0.0617 0.6809 0.3967 [4 per cell]  1 B 1.20
13 H 0.0894 0.6420 0.6585 [4 per cell]  1 B 1.20
14 H 0.1165 0.5160 0.0885 [4 per cell]  1 B 1.20
15 H 0.1810 0.1624 0.9694 [4 per cell]  1 B 1.20
16 H 0.1990 0.2212 0.2335 [4 per cell]  1 B 1.20
17 H 0.2243 0.7016 0.4581 [4 per cell]  2 B 1.34
18 H 0.2499 0.5611 0.3188 [4 per cell]  1 B 1.20
19 H 0.2605 0.5999 0.0873 [4 per cell]  2 B 1.34-1.35
20 H 0.3348 0.7083 0.9012 [4 per cell]  2 B 1.34-1.35
21 H 0.3555 0.1183 0.6795 [4 per cell]  1 B 1.20
22 H 0.3723 0.5101 0.0318 [4 per cell]  2 B 1.33-1.36
23 Br 0.3779 0.5862 0.7110 [4 per cell]  1 B 1.94
24 Br 0.4474 0.2201 0.9514 [4 per cell]  1 B 1.95



A plane-wave DFT calculation with SCAN was carried out for a crystal of HgB2HBr relaxed with PBEsol.

Output
As for the energy: -19.31 eV per atom.

a = 4.3867 Å, b = 4.3867 Å, c = 3.3752 Å
α = 90.00°, β = 90.00°, γ = 90.00°
Closest atoms and distances in Å follow each position.
Space group P4/mmm (No. 123)
Asymmetric unit:
1 Hg 0.0000 0.0000 0.0000 [1 per cell]  8 B 2.77
2 B 0.0000 0.5000 0.5000 [2 per cell]  2 Br 2.19
3 H 0.5000 0.5000 0.0000 [1 per cell]  2 Br 1.69
4 Br 0.5000 0.5000 0.5000 [1 per cell]  2 H 1.69



A plane-wave DFT calculation with SCAN was carried out for a crystal of Rb3B12H12Br relaxed with PBEsol.

Output
As for the energy: -8.13 eV per atom.

a = 9.9918 Å, b = 9.9918 Å, c = 11.2317 Å
α = 90.00°, β = 90.00°, γ = 120.00°
Closest atoms and distances in Å follow each position.
Space group R-3m (No. 166, hexagonal axes)
Asymmetric unit:
1 Rb 0.0000 0.5000 0.0000 [9 per cell]  10 H 2.90-3.18
2 B 0.0590 0.1180 0.8807 [18 per cell]  1 H 1.21
3 B 0.0957 0.1913 0.0284 [18 per cell]  1 H 1.21
4 H 0.0047 0.5024 0.7168 [18 per cell]  1 B 1.21
5 H 0.1015 0.2030 0.7956 [18 per cell]  1 B 1.21
6 Br 0.0000 0.0000 0.5000 [3 per cell]  6 H 3.20, 6 Rb 3.44



A plane-wave DFT calculation with SCAN was carried out for a crystal of Re2BHBr relaxed with PBEsol.

Output
As for the energy: -31.08 eV per atom.

a = 4.5719 Å, b = 4.5719 Å, c = 3.9237 Å
α = 90.00°, β = 90.00°, γ = 90.00°
Closest atoms and distances in Å follow each position.
Space group P4/mmm (No. 123)
Asymmetric unit:
1 Re 0.0000 0.5000 0.0000 [2 per cell]  2 Br 2.29
2 B 0.0000 0.0000 0.5000 [1 per cell]  2 Br 1.96
3 H 0.5000 0.5000 0.5000 [1 per cell]  8 Re 3.01, 4 B 3.23
4 Br 0.0000 0.0000 0.0000 [1 per cell]  2 B 1.96



A plane-wave DFT calculation with SCAN was carried out for a crystal of BHSe2Br relaxed with PBEsol.

Output
As for the energy: -12.95 eV per atom.

a = 4.3793 Å, b = 4.3793 Å, c = 4.7293 Å
α = 90.00°, β = 90.00°, γ = 90.00°
Closest atoms and distances in Å follow each position.
Space group P4/mmm (No. 123)
Asymmetric unit:
1 B 0.0000 0.0000 0.0000 [1 per cell]  4 Se 2.19, 2 Br 2.36
2 H 0.5000 0.5000 0.5000 [1 per cell]  4 Br 3.10, 8 Se 3.22
3 Se 0.0000 0.5000 0.0000 [2 per cell]  2 B 2.19
4 Br 0.0000 0.0000 0.5000 [1 per cell]  2 B 2.36



A plane-wave DFT calculation with SCAN was carried out for a crystal of SrB2HBr relaxed with PBEsol.

Output
As for the energy: -10.21 eV per atom.

a = 5.6811 Å, b = 5.6811 Å, c = 5.8207 Å
α = 90.00°, β = 90.00°, γ = 90.00°
Closest atoms and distances in Å follow each position.
Space group P4/mmm (No. 123)
Asymmetric unit:
1 Sr 0.0000 0.0000 0.0000 [1 per cell]  4 B 2.84, 2 Br 2.91
2 B 0.0000 0.5000 0.0000 [2 per cell]  2 Sr 2.84
3 H 0.5000 0.5000 0.5000 [1 per cell]  4 Br 4.02, 8 B 4.07
4 Br 0.0000 0.0000 0.5000 [1 per cell]  2 Sr 2.91



A plane-wave DFT calculation with SCAN was carried out for a crystal of HfBBr2 relaxed with PBEsol.

Output
As for the energy: -26.45 eV per atom.

a = 7.1302 Å, b = 7.1302 Å, c = 6.0078 Å
α = 90.00°, β = 90.00°, γ = 90.00°
Closest atoms and distances in Å follow each position.
Space group I-42d (No. 122)
Asymmetric unit:
1 Hf 0.0000 0.0000 0.0000 [4 per cell]  4 Br 2.69, 2 B 3.00
2 B 0.0000 0.0000 0.5000 [4 per cell]  4 Br 2.57
3 Br 0.2383 0.7500 0.6250 [8 per cell]  2 B 2.57, 2 Hf 2.69



A plane-wave DFT calculation with SCAN was carried out for a crystal of HgB2Br relaxed with PBEsol.

Output
As for the energy: -23.55 eV per atom.

a = 6.4002 Å, b = 6.4002 Å, c = 6.4002 Å
α = 90.00°, β = 90.00°, γ = 90.00°
Closest atoms and distances in Å follow each position.
Space group Fm-3m (No. 225)
Asymmetric unit:
1 Hg 0.0000 0.0000 0.0000 [4 per cell]  8 B 2.77
2 B 0.2500 0.2500 0.2500 [8 per cell]  4 Hg 2.77, 4 Br 2.77
3 Br 0.0000 0.0000 0.5000 [4 per cell]  8 B 2.77



Q: Look up the energy of the fourth one.
A: -31.08 eV per atom



Q: Which value of energy does entry 1 give?
A: -6.61 eV per atom